Record 1
Computed, not measured: a relaxed structure of Tl3SnI6 at the PBE-GGA level of DFT.

Results
- crystal system = trigonal
- formation energy without anion corrections (eV per atom) = -0.5229
- spin magnetization (Bohr magnetons per cell) = 0.0
- total energy (eV/atom) = -2.56

Cell lengths 13.5509, 13.5509, 17.6446 Å; angles 90.00, 90.00, 120.00 degrees
Space group R-3 (No. 148, hexagonal axes)
Unique sites:
Tl 0.0637 0.5884 0.3747
Sn 0.0000 0.0000 0.0000
Sn 0.0000 0.0000 0.5000
I 0.0230 0.1937 0.1005
I 0.0606 0.8546 0.3983

Record 2
Computed, not measured: a relaxed structure of ZnFePd2 at the PBE-GGA level of DFT.

Results
- crystal system = cubic
- spin magnetization (Bohr magnetons per cell) = 12.8
- total energy (eV/atom) = -5.13
- energy of formation from the pure elements (eV/atom) = -0.098

Cell lengths 6.136, 6.136, 6.136 Å; angles 90.00, 90.00, 90.00 degrees
Space group F-43m (No. 216)
Unique sites:
Zn 0.000 0.000 0.000
Fe 0.250 0.250 0.250
Pd 0.000 0.000 0.500
Pd 0.250 0.250 0.750

Record 3
Computed, not measured: a relaxed structure of La2TlCr2 at the PBE-GGA level of DFT.

Results
- crystal system = tetragonal
- spin magnetization (Bohr magnetons per cell) = 0.0
- total energy (eV/atom) = -5.97
- energy of formation from the pure elements (eV/atom) = 0.326

Cell lengths 3.394, 3.394, 20.824 Å; angles 90.00, 90.00, 90.00 degrees
Space group I4/mmm (No. 139)
Unique sites:
La 0.000 0.000 0.125
Tl 0.000 0.000 0.500
Cr 0.000 0.500 0.250

Record 4
Computed, not measured: a relaxed structure of Dy6Tm2In at the PBE-GGA level of DFT.

Results
- crystal system = monoclinic
- spin magnetization (Bohr magnetons per cell) = 0.0
- total energy (eV/atom) = -4.36
- energy of formation from the pure elements (eV/atom) = 0.004

Cell lengths 13.023, 13.604, 6.309 Å; angles 90.00, 94.87, 90.00 degrees
Space group C2/c (No. 15)
Unique sites:
Dy 0.101 0.072 0.078
Dy 0.110 0.203 0.597
Dy 0.134 0.327 0.076
Tm 0.200 0.438 0.553
In 0.000 0.485 0.750

Record 5
Computed, not measured: a relaxed structure of YRePt at the PBE-GGA level of DFT.

Results
- crystal system = orthorhombic
- spin magnetization (Bohr magnetons per cell) = 0.0
- total energy (eV/atom) = -8.36
- energy of formation from the pure elements (eV/atom) = -0.043

Cell lengths 2.871, 3.961, 10.361 Å; angles 90.00, 90.00, 90.00 degrees
Space group Imm2 (No. 44)
Unique sites:
Y 0.000 0.000 0.000
Re 0.000 0.000 0.298
Pt 0.000 0.000 0.703

Record 6
Computed, not measured: a relaxed structure of KHfInBi2 at the PBE-GGA level of DFT.

Results
- crystal system = tetragonal
- spin magnetization (Bohr magnetons per cell) = 0.0
- total energy (eV/atom) = -4.35
- energy of formation from the pure elements (eV/atom) = -0.045

Cell lengths 5.702, 5.702, 5.707 Å; angles 90.00, 90.00, 90.00 degrees
Space group P4/mmm (No. 123)
Unique sites:
K 0.000 0.000 0.000
Hf 0.500 0.500 0.500
In 0.500 0.500 0.000
Bi 0.000 0.500 0.500

Record 7
Computed, not measured: a relaxed structure of Ac5Rh4Au at the PBE-GGA level of DFT.

Results
- crystal system = orthorhombic
- spin magnetization (Bohr magnetons per cell) = 0.0
- total energy (eV/atom) = -5.97
- energy of formation from the pure elements (eV/atom) = -0.648

Cell lengths 4.296, 6.139, 21.816 Å; angles 90.00, 90.00, 90.00 degrees
Space group Immm (No. 71)
Unique sites:
Ac 0.000 0.000 0.000
Ac 0.000 0.000 0.197
Ac 0.000 0.000 0.389
Rh 0.000 0.500 0.204
Rh 0.000 0.500 0.404
Au 0.000 0.500 0.000

Record 8
Computed, not measured: a relaxed structure of YV3P at the PBE-GGA level of DFT.

Results
- crystal system = cubic
- spin magnetization (Bohr magnetons per cell) = 1.3
- total energy (eV/atom) = -7.78
- energy of formation from the pure elements (eV/atom) = 0.066

Cell lengths 4.484, 4.484, 4.484 Å; angles 90.00, 90.00, 90.00 degrees
Space group Pm-3m (No. 221)
Unique sites:
Y 0.000 0.000 0.000
V 0.000 0.500 0.500
P 0.500 0.500 0.500